Material: KAlSb2
Method: DFT, PBE
State: relaxed

Density of states at the Fermi level = 1.9 states/eV/cell
Uncorrected formation energy = -96 meV/atom

```
KAlSb2
1.0
9.2306 0.0000 0.0000
0.0000 4.0078 0.0000
-1.9572 0.0000 6.8993
K Al Sb
2 2 4
Direct
0.0000 0.0000 0.0000
0.5000 0.5000 0.0000
0.0000 0.5000 0.5000
0.5000 0.0000 0.5000
0.2178 0.0000 0.6542
0.2822 0.5000 0.3458
0.7178 0.5000 0.6542
0.7822 0.0000 0.3458
```


Material: KAl4Sb
Method: DFT, PBE
State: relaxed

Density of states at the Fermi level = 4.0 states/eV/cell
Uncorrected formation energy = 223 meV/atom

```
KAl4Sb
1.0
0.0000 4.0775 4.0775
4.0775 0.0000 4.0775
4.0775 4.0775 0.0000
K Al Sb
1 4 1
Direct
0.0000 0.0000 0.0000
0.3755 0.3755 0.3755
0.3755 0.3755 0.8736
0.3755 0.8736 0.3755
0.8736 0.3755 0.3755
0.7500 0.7500 0.7500
```


Material: KAlSb2
Method: DFT, PBE
State: relaxed

Density of states at the Fermi level = 2.2 states/eV/cell
Uncorrected formation energy = -10 meV/atom

```
KAlSb2
1.0
3.4268 0.0000 0.0000
0.0000 3.4268 0.0000
0.0000 0.0000 9.4133
K Al Sb
1 1 2
Direct
0.0000 0.0000 0.0000
0.0000 0.0000 0.5000
0.5000 0.5000 0.2953
0.5000 0.5000 0.7047
```


Material: KAl2Sb
Method: DFT, PBE
State: relaxed

Density of states at the Fermi level = 2.0 states/eV/cell
Uncorrected formation energy = 12 meV/atom

```
KAl2Sb
1.0
3.7157 0.0000 0.0000
0.0000 3.7157 0.0000
0.0000 0.0000 7.7404
K Al Sb
1 2 1
Direct
0.0000 0.0000 0.0000
0.0000 0.0000 0.5190
0.5000 0.5000 0.6839
0.5000 0.5000 0.3298
```


Material: K2AlSb
Method: DFT, PBE
State: relaxed

Density of states at the Fermi level = 2.1 states/eV/cell
Uncorrected formation energy = 100 meV/atom
Polymorph energy (0 for the lowest one) = 0.307 eV/atom

```
K2AlSb
1.0
3.3709 0.0000 0.0000
0.0000 3.3709 0.0000
0.0000 0.0000 11.2197
K Al Sb
2 1 1
Direct
0.0000 0.0000 0.2382
0.0000 0.0000 0.7618
0.5000 0.5000 0.5000
0.5000 0.5000 0.0000
```


Material: K3AlSb
Method: DFT, PBE
State: relaxed

Density of states at the Fermi level = 4.4 states/eV/cell
Uncorrected formation energy = 298 meV/atom
Polymorph energy (0 for the lowest one) = 0.000 eV/atom

```
K3AlSb
1.0
6.7026 0.0000 0.0000
0.0000 6.7026 0.0000
0.0000 0.0000 6.7026
K Al Sb
3 1 1
Direct
0.0000 0.0000 0.5000
0.0000 0.5000 0.0000
0.5000 0.0000 0.0000
0.5000 0.5000 0.5000
0.0000 0.0000 0.0000
```